## MgZn2 (PBEsol)

Data for MgZn2 after structural relaxation.

Properties
Electronic total energy in eV/atom: -1.66
Formation energy in meV per atom: -33

Cell lengths 2.9315, 14.3066, 4.5989 Å; angles 90.00, 90.00, 90.00 degrees
Last column: nearest neighbours and their distance in Å.
Positions (direct):
Mg1 0.0000 0.1086 0.2500  10 Zn 2.80-2.86, 2 Mg 2.93
Mg2 0.0000 0.8914 0.7500  10 Zn 2.80-2.86, 2 Mg 2.93
Mg3 0.5000 0.3914 0.7500  10 Zn 2.80-2.86, 2 Mg 2.93
Mg4 0.5000 0.6086 0.2500  10 Zn 2.80-2.86, 2 Mg 2.93
Zn1 0.0000 0.2202 0.7500  8 Zn 2.74-2.93, 4 Mg 2.80-2.86
Zn2 0.0000 0.4419 0.2500  6 Zn 2.74-2.93, 6 Mg 2.80-2.82
Zn3 0.0000 0.5581 0.7500  6 Zn 2.74-2.93, 6 Mg 2.80-2.82
Zn4 0.0000 0.7798 0.2500  8 Zn 2.74-2.93, 4 Mg 2.80-2.86
Zn5 0.5000 0.0581 0.7500  6 Zn 2.74-2.93, 6 Mg 2.80-2.82
Zn6 0.5000 0.2798 0.2500  8 Zn 2.74-2.93, 4 Mg 2.80-2.86
Zn7 0.5000 0.7202 0.7500  8 Zn 2.74-2.93, 4 Mg 2.80-2.86
Zn8 0.5000 0.9419 0.2500  6 Zn 2.74-2.93, 6 Mg 2.80-2.82



## MgZn5 (PBEsol)

Data for MgZn5 after structural relaxation.

Properties
Electronic total energy in eV/atom: -1.63
Formation energy in meV per atom: -21

Cell lengths 5.0668, 5.0668, 5.0668 Å; angles 60.00, 60.00, 60.00 degrees
Last column: nearest neighbours and their distance in Å.
Positions (direct):
Mg1 0.0000 0.0000 0.0000  16 Zn 2.97-3.10
Zn1 0.3749 0.3749 0.3749  6 Zn 2.53-2.54
Zn2 0.3749 0.3749 0.8754  6 Zn 2.53-2.54
Zn3 0.3749 0.8754 0.3749  6 Zn 2.53-2.54
Zn4 0.7500 0.7500 0.7500  12 Zn 2.97, 4 Mg 3.10
Zn5 0.8754 0.3749 0.3749  6 Zn 2.53-2.54



## Mg3Zn (PBEsol)

Data for Mg3Zn after structural relaxation.

Properties
Electronic total energy in eV/atom: -1.68
Formation energy in meV per atom: 4

Cell lengths 3.1200, 4.0809, 6.2657 Å; angles 90.00, 90.00, 90.00 degrees
Last column: nearest neighbours and their distance in Å.
Positions (direct):
Mg1 0.0000 0.0000 0.0000  10 Mg 3.07-3.12, 2 Zn 3.13
Mg2 0.5000 0.5000 0.2670  7 Mg 2.92-3.12, 4 Zn 2.95
Mg3 0.5000 0.5000 0.7330  7 Mg 2.92-3.12, 4 Zn 2.95
Zn1 0.0000 0.0000 0.5000  10 Mg 2.95-3.13, 2 Zn 3.12



## MgZn (PBEsol)

Data for MgZn after structural relaxation.

Properties
Electronic total energy in eV/atom: -1.60
Formation energy in meV per atom: 47

Cell lengths 3.0298, 3.0298, 27.5310 Å; angles 90.00, 90.00, 120.00 degrees
Last column: nearest neighbours and their distance in Å.
Positions (direct):
Mg1 0.0000 0.0000 0.1186  3 Zn 2.86, 9 Mg 3.03-3.17
Mg2 0.0000 0.0000 0.8814  3 Zn 2.86, 9 Mg 3.03-3.17
Mg3 0.3333 0.6667 0.5481  3 Zn 2.86, 9 Mg 3.03-3.17
Mg4 0.3333 0.6667 0.7853  3 Zn 2.86, 9 Mg 3.03-3.17
Mg5 0.6667 0.3333 0.2147  3 Zn 2.86, 9 Mg 3.03-3.17
Mg6 0.6667 0.3333 0.4519  3 Zn 2.86, 9 Mg 3.03-3.17
Zn1 0.0000 0.0000 0.3696  3 Zn 2.65, 3 Mg 2.86
Zn2 0.0000 0.0000 0.6304  3 Zn 2.65, 3 Mg 2.86
Zn3 0.3333 0.6667 0.0363  3 Zn 2.65, 3 Mg 2.86
Zn4 0.3333 0.6667 0.2971  3 Zn 2.65, 3 Mg 2.86
Zn5 0.6667 0.3333 0.7029  3 Zn 2.65, 3 Mg 2.86
Zn6 0.6667 0.3333 0.9637  3 Zn 2.65, 3 Mg 2.86



## MgZn (PBEsol)

Data for MgZn after structural relaxation.

Properties
Electronic total energy in eV/atom: -1.66
Formation energy in meV per atom: -12

Cell lengths 4.0632, 4.0632, 8.5281 Å; angles 90.00, 90.00, 90.00 degrees
Last column: nearest neighbours and their distance in Å.
Positions (direct):
Mg1 0.0000 0.2500 0.3750  8 Zn 2.87-2.94, 4 Mg 2.94
Mg2 0.0000 0.7500 0.6250  8 Zn 2.87-2.94, 4 Mg 2.94
Mg3 0.5000 0.2500 0.1250  8 Zn 2.87-2.94, 4 Mg 2.94
Mg4 0.5000 0.7500 0.8750  8 Zn 2.87-2.94, 4 Mg 2.94
Zn1 0.0000 0.2500 0.8750  8 Mg 2.87-2.94, 4 Zn 2.94
Zn2 0.0000 0.7500 0.1250  8 Mg 2.87-2.94, 4 Zn 2.94
Zn3 0.5000 0.2500 0.6250  8 Mg 2.87-2.94, 4 Zn 2.94
Zn4 0.5000 0.7500 0.3750  8 Mg 2.87-2.94, 4 Zn 2.94



## Mg3Zn (PBEsol)

Data for Mg3Zn after structural relaxation.

Properties
Electronic total energy in eV/atom: -1.66
Formation energy in meV per atom: 22

Cell lengths 6.0694, 8.4408, 3.1353 Å; angles 90.00, 90.00, 90.00 degrees
Last column: nearest neighbours and their distance in Å.
Positions (direct):
Mg1 0.0000 0.0000 0.0000  2 Zn 3.03, 10 Mg 3.04-3.14
Mg2 0.2500 0.2500 0.5000  8 Mg 3.03-3.14, 4 Zn 3.04
Mg3 0.2500 0.7500 0.5000  8 Mg 3.03-3.14, 4 Zn 3.04
Mg4 0.5000 0.5000 0.0000  2 Zn 3.03, 10 Mg 3.04-3.14
Mg5 0.7500 0.2500 0.5000  8 Mg 3.03-3.14, 4 Zn 3.04
Mg6 0.7500 0.7500 0.5000  8 Mg 3.03-3.14, 4 Zn 3.04
Zn1 0.0000 0.5000 0.0000  10 Mg 3.03-3.04, 2 Zn 3.14
Zn2 0.5000 0.0000 0.0000  10 Mg 3.03-3.04, 2 Zn 3.14



## MgZn5 (PBEsol)

Data for MgZn5 after structural relaxation.

Properties
Electronic total energy in eV/atom: -1.64
Formation energy in meV per atom: -31

Cell lengths 9.6439, 9.6439, 8.7996 Å; angles 114.39, 114.39, 29.80 degrees
Last column: nearest neighbours and their distance in Å.
Positions (direct):
Mg1 0.0305 0.0305 0.1996  14 Zn 2.82-3.06
Mg2 0.2197 0.2197 0.3761  13 Zn 2.92-3.20, 3 Mg 3.17-3.19
Mg3 0.7803 0.7803 0.6239  13 Zn 2.92-3.20, 3 Mg 3.17-3.19
Mg4 0.9695 0.9695 0.8004  14 Zn 2.82-3.06
Zn1 0.0000 0.0000 0.5000  6 Zn 2.50-2.55
Zn2 0.1169 0.1169 0.7809  6 Zn 2.47-2.56
Zn3 0.1176 0.6234 0.9651  6 Zn 2.45-2.62
Zn4 0.1276 0.6214 0.4640  6 Zn 2.45-2.61
Zn5 0.2475 0.2475 0.7608  6 Zn 2.52-2.61
Zn6 0.2885 0.2885 0.1262  12 Zn 2.79-2.98, 1 Mg 2.98
Zn7 0.3760 0.3760 0.7131  6 Zn 2.50-2.60
Zn8 0.3766 0.8824 0.0349  6 Zn 2.45-2.62
Zn9 0.3786 0.8724 0.5360  6 Zn 2.45-2.61
Zn10 0.4650 0.4650 0.3006  14 Zn 2.84-3.18, 2 Mg 3.06
Zn11 0.5000 0.5000 0.0000  6 Zn 2.59-2.62
Zn12 0.5350 0.5350 0.6994  14 Zn 2.84-3.18, 2 Mg 3.06
Zn13 0.6214 0.1276 0.4640  6 Zn 2.45-2.61
Zn14 0.6234 0.1176 0.9651  6 Zn 2.45-2.62
Zn15 0.6240 0.6240 0.2869  6 Zn 2.50-2.60
Zn16 0.7115 0.7115 0.8738  12 Zn 2.79-2.98, 1 Mg 2.98
Zn17 0.7525 0.7525 0.2392  6 Zn 2.52-2.61
Zn18 0.8724 0.3786 0.5360  6 Zn 2.45-2.61
Zn19 0.8824 0.3766 0.0349  6 Zn 2.45-2.62
Zn20 0.8831 0.8831 0.2191  6 Zn 2.47-2.56



## MgZn2 (PBEsol)

Data for MgZn2 after structural relaxation.

Properties
Electronic total energy in eV/atom: -1.77
Formation energy in meV per atom: -140

Cell lengths 5.1389, 5.1389, 5.1389 Å; angles 60.00, 60.00, 60.00 degrees
Last column: nearest neighbours and their distance in Å.
Positions (direct):
Mg1 0.1250 0.1250 0.1250  12 Zn 3.01, 4 Mg 3.15
Mg2 0.8750 0.8750 0.8750  12 Zn 3.01, 4 Mg 3.15
Zn1 0.0000 0.5000 0.5000  6 Zn 2.57
Zn2 0.5000 0.0000 0.5000  6 Zn 2.57
Zn3 0.5000 0.5000 0.0000  6 Zn 2.57
Zn4 0.5000 0.5000 0.5000  6 Zn 2.57



## MgZn (PBEsol)

Data for MgZn after structural relaxation.

Properties
Electronic total energy in eV/atom: -1.70
Formation energy in meV per atom: -50

Cell lengths 10.2132, 3.0137, 4.8755 Å; angles 90.00, 110.31, 90.00 degrees
Last column: nearest neighbours and their distance in Å.
Positions (direct):
Mg1 0.1082 0.0000 0.3213  7 Zn 2.86-2.92, 5 Mg 3.01-3.19
Mg2 0.3918 0.5000 0.6787  7 Zn 2.86-2.92, 5 Mg 3.01-3.19
Mg3 0.6082 0.5000 0.3213  7 Zn 2.86-2.92, 5 Mg 3.01-3.19
Mg4 0.8918 0.0000 0.6787  7 Zn 2.86-2.92, 5 Mg 3.01-3.19
Zn1 0.1462 0.5000 0.8417  2 Zn 2.62, 7 Mg 2.86-2.92
Zn2 0.3538 0.0000 0.1583  2 Zn 2.62, 7 Mg 2.86-2.92
Zn3 0.6462 0.0000 0.8417  2 Zn 2.62, 7 Mg 2.86-2.92
Zn4 0.8538 0.5000 0.1583  2 Zn 2.62, 7 Mg 2.86-2.92



## Mg3Zn2 (PBEsol)

Data for Mg3Zn2 after structural relaxation.

Properties
Relative energy among the computed polymorphs in eV per formula unit: 0.30
Electronic total energy in eV/atom: -1.64
Formation energy in meV per atom: 26

Cell lengths 3.0971, 3.0971, 34.3144 Å; angles 90.00, 90.00, 120.00 degrees
Last column: nearest neighbours and their distance in Å.
Positions (direct):
Mg1 0.0000 0.0000 0.0000  6 Zn 2.85, 6 Mg 3.10
Mg2 0.0000 0.0000 0.2046  3 Zn 2.84, 9 Mg 3.10-3.16
Mg3 0.0000 0.0000 0.7954  3 Zn 2.84, 9 Mg 3.10-3.16
Mg4 0.3333 0.6667 0.4621  3 Zn 2.84, 9 Mg 3.10-3.16
Mg5 0.3333 0.6667 0.6667  6 Zn 2.85, 6 Mg 3.10
Mg6 0.3333 0.6667 0.8713  3 Zn 2.84, 9 Mg 3.10-3.16
Mg7 0.6667 0.3333 0.1287  3 Zn 2.84, 9 Mg 3.10-3.16
Mg8 0.6667 0.3333 0.3333  6 Zn 2.85, 6 Mg 3.10
Mg9 0.6667 0.3333 0.5379  3 Zn 2.84, 9 Mg 3.10-3.16
Zn1 0.0000 0.0000 0.3978  6 Mg 2.84-2.85, 6 Zn 3.10
Zn2 0.0000 0.0000 0.6022  6 Mg 2.84-2.85, 6 Zn 3.10
Zn3 0.3333 0.6667 0.0645  6 Mg 2.84-2.85, 6 Zn 3.10
Zn4 0.3333 0.6667 0.2688  6 Mg 2.84-2.85, 6 Zn 3.10
Zn5 0.6667 0.3333 0.7312  6 Mg 2.84-2.85, 6 Zn 3.10
Zn6 0.6667 0.3333 0.9355  6 Mg 2.84-2.85, 6 Zn 3.10



## MgZn2 (PBEsol)

Data for MgZn2 after structural relaxation.

Properties
Electronic total energy in eV/atom: -1.60
Formation energy in meV per atom: 25

Cell lengths 2.9546, 2.9546, 13.0807 Å; angles 90.00, 90.00, 120.00 degrees
Last column: nearest neighbours and their distance in Å.
Positions (direct):
Mg1 0.0000 0.0000 0.1732  6 Zn 2.83-2.84, 6 Mg 2.95
Mg2 0.0000 0.0000 0.8268  6 Zn 2.83-2.84, 6 Mg 2.95
Zn1 0.0000 0.0000 0.5000  6 Zn 2.64
Zn2 0.3333 0.6667 0.0000  6 Mg 2.84, 6 Zn 2.95
Zn3 0.3333 0.6667 0.3463  3 Zn 2.64, 3 Mg 2.83
Zn4 0.3333 0.6667 0.6537  3 Zn 2.64, 3 Mg 2.83



## Mg3Zn (PBEsol)

Data for Mg3Zn after structural relaxation.

Properties
Electronic total energy in eV/atom: -1.68
Formation energy in meV per atom: 8

Cell lengths 3.1189, 3.1189, 9.5861 Å; angles 90.00, 90.00, 120.00 degrees
Last column: nearest neighbours and their distance in Å.
Positions (direct):
Mg1 0.0000 0.0000 0.0000  12 Mg 3.12-3.17
Mg2 0.6667 0.3333 0.2718  3 Zn 2.83, 9 Mg 3.12-3.17
Mg3 0.6667 0.3333 0.7282  3 Zn 2.83, 9 Mg 3.12-3.17
Zn1 0.0000 0.0000 0.5000  6 Mg 2.83, 6 Zn 3.12



## Mg5Zn3 (PBEsol)

Data for Mg5Zn3 after structural relaxation.

Properties
Relative energy among the computed polymorphs in eV per formula unit: 0.00
Electronic total energy in eV/atom: -1.72
Formation energy in meV per atom: -57

Cell lengths 7.9685, 7.9685, 5.5339 Å; angles 90.00, 90.00, 120.00 degrees
Last column: nearest neighbours and their distance in Å.
Positions (direct):
Mg1 0.0000 0.2464 0.2500  5 Zn 2.77-3.02
Mg2 0.0000 0.7536 0.7500  5 Zn 2.77-3.02
Mg3 0.2464 0.0000 0.2500  5 Zn 2.77-3.02
Mg4 0.2464 0.2464 0.7500  5 Zn 2.77-3.02
Mg5 0.3333 0.6667 0.0000  2 Mg 2.77, 6 Zn 2.80
Mg6 0.3333 0.6667 0.5000  2 Mg 2.77, 6 Zn 2.80
Mg7 0.6667 0.3333 0.0000  2 Mg 2.77, 6 Zn 2.80
Mg8 0.6667 0.3333 0.5000  2 Mg 2.77, 6 Zn 2.80
Mg9 0.7536 0.0000 0.7500  5 Zn 2.77-3.02
Mg10 0.7536 0.7536 0.2500  5 Zn 2.77-3.02
Zn1 0.0000 0.3980 0.7500  9 Mg 2.77-3.02
Zn2 0.0000 0.6020 0.2500  9 Mg 2.77-3.02
Zn3 0.3980 0.0000 0.7500  9 Mg 2.77-3.02
Zn4 0.3980 0.3980 0.2500  9 Mg 2.77-3.02
Zn5 0.6020 0.0000 0.2500  9 Mg 2.77-3.02
Zn6 0.6020 0.6020 0.7500  9 Mg 2.77-3.02



| no. | magnetic moment (μB/f.u.) |
| --- | --- |
| 1 | 0.0 |
| 2 | 0.0 |
| 3 | 0.0 |
| 4 | 0.0 |
| 5 | 0.0 |
| 6 | 0.0 |
| 7 | 0.0 |
| 8 | 0.0 |
| 9 | 0.0 |
| 10 | 0.0 |
| 11 | 0.0 |
| 12 | 0.0 |
| 13 | 0.0 |